1.
{"formula": "Tl2NiH12Se2O14", "functional": "SCAN", "state": "PBEsol geometry", "final_energy_ev_per_atom": -11.6604, "crystal_system": "monoclinic", "magnetic_moment_mub_per_atom": 0.061, "spacegroup": "P2_1/c (14)", "density_g_cm3": 4.2, "dos_ef_per_ev_atom": 0.000, "cell": [[-2.2092, -5.3176, 2.5405], [5.7602, 3.2837, 6.2303], [-9.2098, 6.3062, 5.1912]], "species": ["Tl", "Tl", "Tl", "Tl", "Ni", "Ni", "H", "H", "H", "H", "H", "H", "H", "H", "H", "H", "H", "H", "H", "H", "H", "H", "H", "H", "H", "H", "H", "H", "H", "H", "Se", "Se", "Se", "Se", "O", "O", "O", "O", "O", "O", "O", "O", "O", "O", "O", "O", "O", "O", "O", "O", "O", "O", "O", "O", "O", "O", "O", "O", "O", "O", "O", "O"], "fractional_positions": [[0.3339, 0.6407, 0.8404], [0.6661, 0.8593, 0.3404], [0.6661, 0.3593, 0.1596], [0.3339, 0.1407, 0.6596], [0.0000, 0.5000, 0.5000], [0.0000, 0.0000, 0.0000], [0.3145, 0.7044, 0.5856], [0.6855, 0.7956, 0.0856], [0.6855, 0.2956, 0.4144], [0.3145, 0.2044, 0.9144], [0.0882, 0.7433, 0.6249], [0.9118, 0.7567, 0.1249], [0.9118, 0.2567, 0.3751], [0.0882, 0.2433, 0.8751], [0.9228, 0.2305, 0.5928], [0.0772, 0.2695, 0.0928], [0.0772, 0.7695, 0.4072], [0.9228, 0.7305, 0.9072], [0.9983, 0.3568, 0.6859], [0.0017, 0.1432, 0.1859], [0.0017, 0.6432, 0.3141], [0.9983, 0.8568, 0.8141], [0.3362, 0.4009, 0.4480], [0.6638, 0.0991, 0.9480], [0.6638, 0.5991, 0.5520], [0.3362, 0.9009, 0.0520], [0.3261, 0.5282, 0.3608], [0.6739, 0.9718, 0.8608], [0.6739, 0.4718, 0.6392], [0.3261, 0.0282, 0.1392], [0.7265, 0.9076, 0.6342], [0.2735, 0.5924, 0.1342], [0.2735, 0.0924, 0.3658], [0.7265, 0.4076, 0.8658], [0.5683, 0.9204, 0.7410], [0.4317, 0.5796, 0.2410], [0.4317, 0.0796, 0.2590], [0.5683, 0.4204, 0.7590], [0.7707, 0.0644, 0.5598], [0.2293, 0.4356, 0.0598], [0.2293, 0.9356, 0.4402], [0.7707, 0.5644, 0.9402], [0.5909, 0.7629, 0.5570], [0.4091, 0.7371, 0.0570], [0.4091, 0.2371, 0.4430], [0.5909, 0.2629, 0.9430], [0.9635, 0.8762, 0.6785], [0.0365, 0.6238, 0.1785], [0.0365, 0.1238, 0.3215], [0.9635, 0.3762, 0.8215], [0.1606, 0.6589, 0.6112], [0.8394, 0.8411, 0.1112], [0.8394, 0.3411, 0.3888], [0.1606, 0.1589, 0.8888], [0.0289, 0.3313, 0.6091], [0.9711, 0.1687, 0.1091], [0.9711, 0.6687, 0.3909], [0.0289, 0.8313, 0.8909], [0.2928, 0.4987, 0.4386], [0.7072, 0.0013, 0.9386], [0.7072, 0.5013, 0.5614], [0.2928, 0.9987, 0.0614]]}

2.
{"formula": "ZrAgCl2", "functional": "SCAN", "state": "PBEsol geometry", "crystal_system": "cubic", "polymorph_energy_mev_per_atom": 382.0, "magnetic_moment_mub_per_atom": 0.250, "spacegroup": "F-43m (216)", "density_g_cm3": 5.9, "dos_ef_per_ev_atom": 0.722, "cell": [[-0.1246, -3.5476, -3.1635], [1.8154, -4.2494, 1.1205], [-2.8901, -3.7101, 0.7010]], "species": ["Zr", "Ag", "Cl", "Cl"], "fractional_positions": [[0.2500, 0.2500, 0.2500], [0.5000, 0.5000, 0.5000], [0.0000, 0.0000, 0.0000], [0.7500, 0.7500, 0.7500]]}

3.
{"formula": "La2Ta2In", "functional": "SCAN", "state": "PBEsol geometry", "crystal_system": "tetragonal", "formation_energy_mev_per_atom": 964, "magnetic_moment_mub_per_atom": 0.000, "spacegroup": "I4/mmm (139)", "density_g_cm3": 9.9, "dos_ef_per_ev_atom": 0.880, "cell": [[-4.0311, -0.9066, -0.3625], [-0.0544, -1.3287, 3.9286], [0.3187, 7.8788, 0.4798]], "species": ["La", "La", "In", "Ta", "Ta"], "fractional_positions": [[0.2500, 0.7500, 0.5000], [0.7500, 0.2500, 0.5000], [0.0000, 0.0000, 0.0000], [0.4210, 0.4210, 0.8419], [0.5790, 0.5790, 0.1581]]}

4.
{"formula": "AlFePt2", "functional": "SCAN", "state": "PBEsol geometry", "crystal_system": "orthorhombic", "formation_energy_mev_per_atom": -821, "magnetic_moment_mub_per_atom": 0.894, "spacegroup": "Cmmm (65)", "density_g_cm3": 14.3, "dos_ef_per_ev_atom": 0.495, "cell": [[2.7641, 0.0000, 0.0000], [0.0000, 4.5384, -0.0171], [0.0000, -1.1464, 4.3912]], "species": ["Fe", "Pt", "Pt", "Al"], "fractional_positions": [[0.5000, 0.5000, 0.5000], [0.0000, 0.5000, 0.0000], [0.0000, 0.0000, 0.5000], [0.5000, 0.0000, 0.0000]]}

5.
{"formula": "TcNiIr2", "functional": "SCAN", "state": "PBEsol geometry", "crystal_system": "tetragonal", "polymorph_energy_mev_per_atom": 429.1, "formation_energy_mev_per_atom": 269, "magnetic_moment_mub_per_atom": 0.000, "spacegroup": "P4/mmm (123)", "density_g_cm3": 16.6, "dos_ef_per_ev_atom": 1.296, "cell": [[-2.2375, -1.0049, -1.1085], [2.4802, -2.8216, -2.4485], [-0.2479, -3.0568, 3.2715]], "species": ["Ir", "Ir", "Ni", "Tc"], "fractional_positions": [[0.0000, 0.0000, 0.5000], [0.0000, 0.5000, 0.0000], [0.5000, 0.5000, 0.5000], [0.5000, 0.0000, 0.0000]]}

6.
{"formula": "BeBrNO2", "functional": "SCAN", "state": "PBEsol geometry", "final_energy_ev_per_atom": -8.7451, "crystal_system": "tetragonal", "magnetic_moment_mub_per_atom": 0.000, "spacegroup": "P4/mmm (123)", "density_g_cm3": 3.7, "dos_ef_per_ev_atom": 0.534, "cell": [[3.1278, 0.0000, 0.0000], [0.0000, 3.1278, 0.0000], [0.0000, 0.0000, 6.2344]], "species": ["Be", "O", "O", "Br", "N"], "fractional_positions": [[0.0000, 0.0000, 0.0000], [0.0000, 0.5000, 0.0000], [0.5000, 0.0000, 0.0000], [0.5000, 0.5000, 0.5000], [0.0000, 0.0000, 0.5000]]}

7.
{"formula": "ZnNi3", "functional": "SCAN", "state": "PBEsol geometry", "crystal_system": "orthorhombic", "formation_energy_mev_per_atom": -56, "magnetic_moment_mub_per_atom": 0.365, "spacegroup": "Pmm2 (25)", "density_g_cm3": 9.2, "dos_ef_per_ev_atom": 0.960, "cell": [[2.5144, 0.0000, 0.0000], [0.0000, 4.0643, 0.0000], [0.0000, 0.0000, 4.2538]], "species": ["Ni", "Ni", "Ni", "Zn"], "fractional_positions": [[0.0000, 0.0000, 0.9886], [0.5000, 0.0000, 0.4997], [0.5000, 0.5000, 0.8402], [0.0000, 0.5000, 0.3382]]}

8.
{"formula": "Ni2MoW", "functional": "SCAN", "state": "PBEsol geometry", "crystal_system": "monoclinic", "polymorph_energy_mev_per_atom": 0.0, "formation_energy_mev_per_atom": 108, "magnetic_moment_mub_per_atom": 0.000, "spacegroup": "Cm (8)", "density_g_cm3": 12.7, "dos_ef_per_ev_atom": 0.836, "cell": [[2.5961, 0.0000, 0.0000], [-1.2981, 4.3087, -0.0015], [0.0000, -0.6592, 4.6348]], "species": ["Mo", "Ni", "Ni", "W"], "fractional_positions": [[0.7444, 0.4888, 0.2222], [0.9968, 0.9935, 0.0013], [0.2528, 0.5056, 0.7490], [0.5060, 0.0121, 0.5274]]}

9.
{"formula": "KBaMo2", "functional": "SCAN", "state": "PBEsol geometry", "crystal_system": "orthorhombic", "polymorph_energy_mev_per_atom": 6.5, "formation_energy_mev_per_atom": 1610, "magnetic_moment_mub_per_atom": 0.000, "spacegroup": "Immm (71)", "density_g_cm3": 6.8, "dos_ef_per_ev_atom": 0.898, "cell": [[3.7736, 0.0000, 0.0000], [0.0000, 4.0899, 0.0000], [-1.8868, -2.0449, 5.8007]], "species": ["Ba", "K", "Mo", "Mo"], "fractional_positions": [[0.5000, 0.0000, 0.0000], [0.0000, 0.5000, 0.0000], [0.7497, 0.7497, 0.4995], [0.2503, 0.2503, 0.5005]]}

10.
{"formula": "ReTc", "functional": "SCAN", "state": "PBEsol geometry", "crystal_system": "orthorhombic", "polymorph_energy_mev_per_atom": 3.7, "formation_energy_mev_per_atom": -9, "magnetic_moment_mub_per_atom": 0.000, "spacegroup": "Pnma (62)", "density_g_cm3": 16.5, "dos_ef_per_ev_atom": 0.896, "cell": [[-2.4249, -0.5632, -3.6354], [3.9092, 0.3167, -2.6566], [0.6948, -5.4197, 0.3762]], "species": ["Re", "Re", "Re", "Re", "Tc", "Tc", "Tc", "Tc"], "fractional_positions": [[0.7500, 0.9168, 0.8748], [0.2500, 0.5832, 0.3748], [0.7500, 0.4168, 0.6252], [0.2500, 0.0832, 0.1252], [0.7500, 0.9166, 0.3750], [0.2500, 0.5834, 0.8750], [0.7500, 0.4166, 0.1250], [0.2500, 0.0834, 0.6250]]}

11.
{"formula": "Sr2Hg", "functional": "SCAN", "state": "PBEsol geometry", "crystal_system": "orthorhombic", "formation_energy_mev_per_atom": -487, "magnetic_moment_mub_per_atom": 0.000, "spacegroup": "Cmc2_1 (36)", "density_g_cm3": 5.4, "dos_ef_per_ev_atom": 0.912, "cell": [[-2.3837, 1.4889, -3.0598], [-4.7333, -1.9905, 5.5395], [0.5476, 7.0296, 2.9939]], "species": ["Sr", "Sr", "Sr", "Sr", "Hg", "Hg"], "fractional_positions": [[0.4766, 0.9533, 0.2912], [0.5234, 0.0467, 0.7912], [0.2161, 0.4321, 0.4653], [0.7839, 0.5679, 0.9653], [0.1149, 0.2297, 0.0765], [0.8851, 0.7703, 0.5765]]}

12.
{"formula": "TaCrNi2", "functional": "SCAN", "state": "PBEsol geometry", "crystal_system": "monoclinic", "polymorph_energy_mev_per_atom": 169.9, "formation_energy_mev_per_atom": 54, "magnetic_moment_mub_per_atom": 0.000, "spacegroup": "Cm (8)", "density_g_cm3": 11.7, "dos_ef_per_ev_atom": 0.933, "cell": [[-0.2549, 2.5996, -0.0734], [-1.8187, -1.5953, -3.6696], [-3.6325, -0.2767, 2.8142]], "species": ["Cr", "Ni", "Ni", "Ta"], "fractional_positions": [[0.7427, 0.4854, 0.2056], [0.0004, 0.0009, 0.0167], [0.2558, 0.5115, 0.7589], [0.5011, 0.0022, 0.5187]]}